Compound: Tb8As3S4
Source: Alexandria via LeMat-Bulk
Functional: PBE
Structure: optimized geometry

POSCAR file:
```
Tb8As3S4
1.0
5.656 -5.665 0.000
5.656 5.665 0.000
-5.640 0.000 5.673
Tb As S
8 3 4
Cartesian
-0.012 0.000 2.779
-2.845 0.000 5.655
5.656 2.875 0.000
2.836 2.845 2.836
2.836 -2.845 2.836
5.656 -2.875 0.000
8.517 0.000 0.018
5.683 0.000 2.894
2.828 2.832 0.000
2.828 -2.832 0.000
2.836 0.000 2.836
0.000 0.000 0.000
-2.820 0.000 2.836
0.008 2.832 2.836
0.008 -2.832 2.836
```

Summary:
Calculated total energy in eV per atom: -6.19
Uncorrected formation energy in meV per atom: -1689
Theoretical density in g cm⁻³: 7.42
Magnetic moment in μB/f.u.: 0.00
Density of states at the Fermi level in states/eV/cell: 6.172
V in Å³ per atom: 24.23



Compound: CaHgGeO4
Source: Alexandria via LeMat-Bulk
Functional: PBE
Structure: optimized geometry

POSCAR file:
```
CaHgGeO4
1.0
-3.177 3.427 4.436
3.177 -3.427 4.436
3.177 3.427 -4.436
Ca Hg Ge O
2 2 2 8
Cartesian
0.000 0.000 0.000
0.000 3.427 0.000
-1.589 1.713 2.218
1.589 1.713 2.218
3.177 1.713 -1.066
0.000 1.713 5.502
3.177 -0.261 2.103
3.177 3.165 -2.103
1.662 1.713 -0.044
4.692 1.713 -0.044
-1.515 1.713 4.479
1.515 1.713 4.479
0.000 0.261 6.539
0.000 3.688 2.332
```

Summary:
Calculated total energy in eV per atom: -5.44
Uncorrected formation energy in meV per atom: -1620
Theoretical density in g cm⁻³: 6.49
Magnetic moment in μB/f.u.: 0.00
V in Å³ per atom: 13.80



Compound: SiSn2Au
Source: Alexandria via LeMat-Bulk
Functional: PBE
Structure: optimized geometry

POSCAR file:
```
SiSn2Au
1.0
6.363 0.000 0.000
0.000 6.363 0.000
0.000 0.000 11.532
Si Sn Au
4 8 4
Cartesian
0.000 0.000 0.000
0.000 3.181 2.883
3.181 0.000 8.649
3.181 3.181 5.766
1.517 1.591 1.442
1.591 4.698 4.325
1.591 4.846 10.091
1.664 1.591 7.208
4.698 4.772 7.208
4.772 1.517 10.091
4.772 1.664 4.325
4.846 4.772 1.442
0.000 0.000 5.766
0.000 3.181 8.649
3.181 0.000 2.883
3.181 3.181 0.000
```

Summary:
Calculated total energy in eV per atom: -4.00
Uncorrected formation energy in meV per atom: 180
Theoretical density in g cm⁻³: 6.58
Magnetic moment in μB/f.u.: 0.00
Density of states at the Fermi level in states/eV/cell: 8.811
V in Å³ per atom: 29.18